Density functional theory data (GGA-PBE) for a relaxed structure of Tb2YHo5Sc.

The structure belongs to space group Cmc2_1 (No. 36); the cell edges are 5.521, 19.871 and 10.290 Å and the angles 90.00°, 90.00° and 90.00°. The asymmetric unit holds Tb at (0.000, 0.112, 0.000), Tb at (0.000, 0.115, 0.423), Y at (0.000, 0.409, 0.143), Ho at (0.000, 0.017, 0.704), Ho at (0.000, 0.275, 0.007), Ho at (0.000, 0.300, 0.393), Ho at (0.000, 0.377, 0.708), Ho at (0.000, 0.481, 0.428) and Sc at (0.000, 0.196, 0.702).

The energy of formation is 0.169 eV/atom. For the total energy, the calculation gives -43.4 eV/f.u.